TlFe2CoB SCAN PBEsol geometry; total moment = 7.79 μB/f.u.; energy of formation from the pure elements = 8.12 eV/f.u.; E_tot = -25.05 eV per atom; symmetry = No. 123; density = 7.3 g cm⁻³
1.0
-3.8748 0.2335 -1.8224
1.7116 -1.0878 -3.7785
-0.7454 -4.6212 0.9927
Fe Tl B Co
2 1 1 1
Direct
0.5000 0.0000 0.0000
0.0000 0.5000 0.0000
0.0000 0.0000 0.5000
0.5000 0.5000 0.5000
0.0000 0.0000 0.0000

GaCoB2Te SCAN PBEsol geometry; uncorrected formation energy = 189 kJ per mole of atoms; total moment = 1.44 μB/f.u.; E_tot = -15.20 eV per atom; symmetry = No. 123; density = 5.1 g cm⁻³
1.0
-0.3002 -4.2411 1.1332
4.0211 0.1900 1.7763
-1.8601 1.2219 4.0803
Te Ga B Co
1 1 2 1
Direct
0.0000 0.0000 0.0000
0.5000 0.5000 0.5000
0.0000 0.5000 0.0000
0.5000 0.0000 0.0000
0.0000 0.0000 0.5000

GdCo3B2 SCAN PBEsol geometry; total moment = 7.75 μB/f.u.; energy of formation from the pure elements = -2.24 eV/f.u.; E_tot = -21.31 eV per atom; symmetry = No. 191; density = 9.3 g cm⁻³
1.0
2.9707 0.0000 0.0000
0.0000 4.9662 0.0000
0.0000 -2.4831 4.3008
Co B Gd
3 2 1
Direct
0.5000 0.0000 0.5000
0.5000 0.5000 0.0000
0.5000 0.5000 0.5000
0.0000 0.6667 0.3333
0.0000 0.3333 0.6667
0.0000 0.0000 0.0000

Co3BH SCAN PBEsol geometry; total moment = 3.27 μB/f.u.; energy relative to the lowest polymorph listed for this composition = 0.00 eV/f.u.; E_tot = -12.27 eV per atom; symmetry = No. 221; density = 8.2 g cm⁻³
1.0
-3.3232 0.0476 0.5010
0.1928 -2.9703 1.5610
0.4648 1.5722 2.9341
Co B H
3 1 1
Direct
0.0000 0.0000 0.5000
0.0000 0.5000 0.0000
0.5000 0.0000 0.0000
0.5000 0.5000 0.5000
0.0000 0.0000 0.0000

CoB3H SCAN PBEsol geometry; total moment = 0.38 μB/f.u.; E_tot = -7.55 eV per atom; symmetry = No. 221; density = 5.3 g cm⁻³
1.0
-1.0634 -1.1600 2.6475
2.8291 -0.9959 0.7000
0.5925 2.6736 1.4094
H B Co
1 3 1
Direct
0.0000 0.0000 0.0000
0.0000 0.0000 0.5000
0.0000 0.5000 0.0000
0.5000 0.0000 0.0000
0.5000 0.5000 0.5000

CoB2H SCAN PBEsol geometry; total moment = 1.57 μB/f.u.; E_tot = -8.25 eV per atom; symmetry = No. 141; density = 4.9 g cm⁻³
1.0
3.2562 0.0000 0.0000
0.0000 3.2562 0.0000
-1.6281 -1.6281 5.1659
Co H B
2 2 4
Direct
0.2500 0.7500 0.5000
0.0000 0.0000 0.0000
0.5000 0.5000 0.0000
0.7500 0.2500 0.5000
0.1250 0.3750 0.7500
0.6250 0.3750 0.2500
0.6250 0.8750 0.2500
0.6250 0.3750 0.7500